Material: Mg2BePSe
Method: DFT, PBE-GGA
State: optimized geometry Values from VASP.

Summary:
E_form (uncorrected): 0.424 eV/atom
total magnetic moment: 0.00 μB/atom

Cell and atoms, written as Quantum ESPRESSO input:
```
&SYSTEM
  ibrav = 0, nat = 5, ntyp = 4
/
ATOMIC_SPECIES
P 30.97 P.upf
Mg 24.30 Mg.upf
Se 78.96 Se.upf
Be 9.01 Be.upf
ATOMIC_POSITIONS angstrom
P 0.000 0.000 0.000
Mg 0.000 0.000 2.388
Mg 2.388 0.000 0.000
Se 0.000 2.590 0.000
Be 2.388 2.590 2.388
CELL_PARAMETERS angstrom
4.776 0.000 0.000
0.000 5.180 0.000
0.000 0.000 4.776
```